Entry 1:
The following is a DFT calculation (PBE) of Ca2AlH2 after structural relaxation.

a = 7.3675 Å, b = 7.3675 Å, c = 3.1289 Å
α = 90.00°, β = 90.00°, γ = 90.00°
Atoms (fractional coordinates):
H 0.3812 0.8812 0.0000
H 0.8812 0.6188 0.0000
H 0.6188 0.1188 0.0000
H 0.1188 0.3812 0.0000
Ca 0.1733 0.6733 0.5000
Ca 0.6733 0.8267 0.5000
Ca 0.8267 0.3267 0.5000
Ca 0.3267 0.1733 0.5000
Al 0.0000 0.0000 0.0000
Al 0.5000 0.5000 0.0000

Computed properties:
* polymorph energy (0 for the lowest one): 28.5 kJ/mol of atoms
* crystal system: tetragonal
* space group: P4/mbm, No. 127

---

Entry 2:
The following is a DFT calculation (PBE) of CaAlH5 after structural relaxation.

a = 4.3117 Å, b = 4.9224 Å, c = 12.0885 Å
α = 90.00°, β = 90.00°, γ = 90.00°
Atoms (fractional coordinates):
Al 0.0620 0.8720 0.1642
Al 0.5620 0.1280 0.3358
Al 0.4380 0.3720 0.8358
Al 0.9380 0.6280 0.6642
Ca 0.4611 0.3885 0.0891
Ca 0.9611 0.6115 0.4109
Ca 0.0389 0.8885 0.9109
Ca 0.5389 0.1115 0.5891
H 0.2308 0.6251 0.2399
H 0.7308 0.3749 0.2601
H 0.2692 0.1251 0.7601
H 0.7692 0.8749 0.7399
H 0.9058 0.6405 0.0746
H 0.4058 0.3595 0.4254
H 0.5942 0.1405 0.9254
H 0.0942 0.8595 0.5746
H 0.4272 0.8634 0.4137
H 0.9272 0.1366 0.0863
H 0.0728 0.3634 0.5863
H 0.5728 0.6366 0.9137
H 0.3739 0.8751 0.0726
H 0.8739 0.1249 0.4274
H 0.1261 0.3751 0.9274
H 0.6261 0.6249 0.5726
H 0.7576 0.8703 0.2590
H 0.2576 0.1297 0.2410
H 0.7424 0.3703 0.7410
H 0.2424 0.6297 0.7590

Computed properties:
* polymorph energy (0 for the lowest one): 0.9 kJ/mol of atoms
* crystal system: orthorhombic
* space group: P2_12_12_1, No. 19

---

Entry 3:
The following is a DFT calculation (PBE) of Ca2AlH after structural relaxation.

a = 3.3599 Å, b = 3.7745 Å, c = 7.4476 Å
α = 90.13°, β = 90.00°, γ = 90.00°
Atoms (fractional coordinates):
Ca 0.0000 0.5014 0.7635
Ca 0.0000 0.4986 0.2365
Al 0.5000 0.0000 0.5000
H 0.5000 0.5000 0.0000

Computed properties:
* polymorph energy (0 for the lowest one): 0.0 kJ/mol of atoms
* crystal system: monoclinic
* space group: P2/m, No. 10

---

Entry 4:
The following is a DFT calculation (PBE) of CaAl2H2 after structural relaxation.

a = 6.0391 Å, b = 6.0391 Å, c = 4.1091 Å
α = 90.00°, β = 90.00°, γ = 90.00°
Atoms (fractional coordinates):
H 0.3294 0.8294 0.0000
H 0.8294 0.6706 0.0000
H 0.6706 0.1706 0.0000
H 0.1706 0.3294 0.0000
Ca 0.0000 0.0000 0.0000
Ca 0.5000 0.5000 0.0000
Al 0.3308 0.8308 0.5000
Al 0.8308 0.6692 0.5000
Al 0.6692 0.1692 0.5000
Al 0.1692 0.3308 0.5000

Computed properties:
* crystal system: tetragonal
* space group: P4/mbm, No. 127

---

no.,E_tot (eV for the cell shown)
1,-29.4
2,-98.4
3,-11.9
4,-32.7